DFT (GGA-PBE) results for a geometry-optimized NaLaScPb structure.

Structure (POSCAR):
```
NaLaScPb
1.0
0.000 3.831 3.831
3.831 0.000 3.831
3.831 3.831 0.000
Na La Sc Pb
1 1 1 1
Direct
0.000 0.000 0.000
0.750 0.750 0.750
0.250 0.250 0.250
0.500 0.500 0.500
```

Output
- Energy of formation: -3.21 kcal/mol of atoms
- Volume: 112.5 Å³ per cell
- M_tot: 0.1 μB per formula unit